The following is a PBE-GGA calculation of a relaxed structure of KNb4HO5, from Alexandria.

a b c (Å): 4.2262 4.2262 8.0797
angles (deg): 90.00 90.00 90.00
With the nearest neighbours (Å) after each atom.
Positions (direct):
Nb1 0.5000 0.5000 0.7485  1 H 2.01, 4 O 2.11
Nb2 0.5000 0.5000 0.2515  1 H 2.01, 4 O 2.11
O1 0.0000 0.5000 0.2616  3 Nb 2.11
O2 0.5000 0.0000 0.2616  3 Nb 2.11
O3 0.0000 0.5000 0.7384  3 Nb 2.11
O4 0.0000 0.0000 0.0000  4 Nb 2.11
O5 0.5000 0.0000 0.7384  3 Nb 2.11
Nb3 0.5000 0.0000 0.0000  4 O 2.11
H1 0.5000 0.5000 0.5000  2 Nb 2.01
Nb4 0.0000 0.5000 0.0000  4 O 2.11
K1 0.0000 0.0000 0.5000  8 O 2.86, 4 H 2.99

Results
The space group is P4/mmm (123). Its electronic total energy is -8.212 eV/atom.

The following is a PBE-GGA calculation of a relaxed structure of BeSO3, from Alexandria.

a b c (Å): 3.6092 3.6092 3.6092
angles (deg): 90.00 90.00 90.00
With the nearest neighbours (Å) after each atom.
Positions (direct):
S1 0.0000 0.0000 0.0000  6 O 1.80
O1 0.5000 0.0000 0.0000  2 S 1.80
O2 0.0000 0.0000 0.5000  2 S 1.80
Be1 0.5000 0.5000 0.5000  12 O 2.55
O3 0.0000 0.5000 0.0000  2 S 1.80

Results
The space group is Pm-3m (221). The value obtained for the uncorrected formation energy is 0.56 eV per formula unit.

The following is a PBE-GGA calculation of a relaxed structure of Dy6TlRh, from Alexandria.

a b c (Å): 6.6318 7.1697 6.7079
angles (deg): 57.70 77.88 66.87
With the nearest neighbours (Å) after each atom.
Positions (direct):
Dy1 0.2593 0.5077 0.3917  1 Rh 2.79, 1 Tl 3.09
Tl1 0.0000 0.0000 0.0000  6 Dy 3.09-3.14
Dy2 0.7407 0.1006 0.3917  1 Rh 2.79, 1 Tl 3.09
Dy3 0.2787 0.2675 0.0000  1 Rh 2.62
Dy4 0.7407 0.4923 0.6083  1 Rh 2.79, 1 Tl 3.09
Rh1 0.5000 0.5000 0.0000  6 Dy 2.62-2.79
Dy5 0.2593 0.8994 0.6083  1 Rh 2.79, 1 Tl 3.09
Dy6 0.7213 0.7325 0.0000  1 Rh 2.62

Results
As for the formation enthalpy at 0 K: -0.105 eV per atom. The space group is C2/m (12).

The following is a PBE-GGA calculation of a relaxed structure of Hf2ScAu, from Alexandria.

a b c (Å): 7.9783 7.9783 6.3401
angles (deg): 51.01 51.01 90.00
With the nearest neighbours (Å) after each atom.
Positions (direct):
Sc1 0.2500 0.7500 0.5000  2 Au 2.89, 4 Hf 3.15
Hf1 0.8750 0.9171 0.7500  2 Au 2.69, 2 Hf 2.97
Au1 0.0000 0.0000 0.0000  4 Hf 2.69, 2 Sc 2.89
Sc2 0.5000 0.5000 0.0000  2 Au 2.89, 4 Hf 3.15
Hf2 0.6671 0.1250 0.2500  2 Au 2.69, 2 Hf 2.97
Hf3 0.0829 0.6250 0.2500  2 Au 2.69, 2 Hf 2.97
Au2 0.7500 0.2500 0.5000  4 Hf 2.69, 2 Sc 2.89
Hf4 0.3750 0.3329 0.7500  2 Au 2.69, 2 Hf 2.97

Results
As for the formation enthalpy at 0 K: 0.097 eV per atom. The energy above the most stable polymorph in this dataset comes out at 117.9 meV per atom. The space group is I-42d (122).

The following is a PBE-GGA calculation of a relaxed structure of AsWSe2, from Alexandria.

a b c (Å): 2.9182 2.9182 10.9210
angles (deg): 90.00 90.00 115.46
With the nearest neighbours (Å) after each atom.
Positions (direct):
Se1 0.0000 0.0000 0.0590  2 W 2.60
Se2 0.0000 0.0000 0.4410  2 W 2.60
As1 0.5000 0.5000 0.7500  6 As 2.92-3.12
W1 0.5000 0.5000 0.2500  4 Se 2.60

Results
The space group is Cmmm (65). The value obtained for the uncorrected formation energy is 1.99 eV per formula unit.

The following is a PBE-GGA calculation of a relaxed structure of LiTlHgPd2, from Alexandria.

a b c (Å): 5.1418 5.1418 4.6379
angles (deg): 90.00 90.00 90.00
With the nearest neighbours (Å) after each atom.
Positions (direct):
Tl1 0.5000 0.5000 0.5000  8 Pd 3.46, 4 Li 3.64
Pd1 0.5000 0.0000 0.0000  2 Hg 2.57
Hg1 0.0000 0.0000 0.0000  2 Li 2.32, 4 Pd 2.57
Li1 0.0000 0.0000 0.5000  2 Hg 2.32
Pd2 0.0000 0.5000 0.0000  2 Hg 2.57

Results
As for the formation enthalpy at 0 K: 0.314 eV per atom. The space group is P4/mmm (123).

The following is a PBE-GGA calculation of a relaxed structure of Th3AsN6, from Alexandria.

a b c (Å): 5.6242 7.6059 7.6059
angles (deg): 103.26 90.00 90.00
With the nearest neighbours (Å) after each atom.
Positions (direct):
Th1 0.4706 0.3032 0.0887  5 N 2.33-2.55
Th2 0.9401 0.6050 0.3950  7 N 2.39-2.64
N1 0.2110 0.6660 0.6497  4 Th 2.33-2.42
Th3 0.9706 0.0887 0.3032  5 N 2.33-2.55
N2 0.7110 0.6497 0.6660  4 Th 2.33-2.42
N3 0.6918 0.2118 0.7882  1 As 1.84
N4 0.1690 0.1083 0.5910  1 As 1.84
Th4 0.4401 0.3950 0.6050  7 N 2.39-2.64
N5 0.1690 0.4090 0.8917  1 As 1.84
N6 0.6690 0.8917 0.4090  1 As 1.84
N7 0.1918 0.7882 0.2118  1 As 1.84
Th5 0.4706 0.9113 0.6968  5 N 2.33-2.55
Th6 0.9706 0.6968 0.9113  5 N 2.33-2.55
N8 0.6366 0.9521 0.0479  1 As 1.85
N9 0.6690 0.5910 0.1083  1 As 1.84
As1 0.0156 0.1917 0.8083  4 N 1.84-1.85
As2 0.5156 0.8083 0.1917  4 N 1.84-1.85
N10 0.7110 0.3340 0.3503  4 Th 2.33-2.42
N11 0.2110 0.3503 0.3340  4 Th 2.33-2.42
N12 0.1366 0.0479 0.9521  1 As 1.85

Results
The space group is Cmc2_1 (36). The value obtained for the uncorrected formation energy is -10.30 eV per formula unit.

The following is a PBE-GGA calculation of a relaxed structure of La3Cu3Au2, from Alexandria.

a b c (Å): 4.4878 5.8509 15.5322
angles (deg): 90.00 90.00 112.55
With the nearest neighbours (Å) after each atom.
Positions (direct):
La1 0.3781 0.7562 0.7500  5 Cu 3.07-3.24, 4 Au 3.20
Cu1 0.4048 0.8097 0.5445  1 Cu 2.48, 2 Au 2.66
Cu2 0.4048 0.8097 0.9555  1 Cu 2.48, 2 Au 2.66
Au1 0.8118 0.6236 0.8899  3 Cu 2.66-2.71
La2 0.1072 0.2144 0.5939  7 Cu 3.11-3.36, 4 Au 3.16-3.29
Cu3 0.6618 0.3235 0.7500  2 Au 2.71
Cu4 0.5952 0.1903 0.0445  1 Cu 2.48, 2 Au 2.66
Au2 0.8118 0.6236 0.6101  3 Cu 2.66-2.71
La3 0.8928 0.7856 0.4061  7 Cu 3.11-3.36, 4 Au 3.16-3.29
Au3 0.1882 0.3764 0.3899  3 Cu 2.66-2.71
La4 0.8928 0.7856 0.0939  7 Cu 3.11-3.36, 4 Au 3.16-3.29
Cu5 0.5952 0.1903 0.4555  1 Cu 2.48, 2 Au 2.66
Cu6 0.3382 0.6765 0.2500  2 Au 2.71
Au4 0.1882 0.3764 0.1101  3 Cu 2.66-2.71
La5 0.1072 0.2144 0.9061  7 Cu 3.11-3.36, 4 Au 3.16-3.29
La6 0.6219 0.2438 0.2500  5 Cu 3.07-3.24, 4 Au 3.20

Results
As for the formation enthalpy at 0 K: -0.468 eV per atom. The space group is Cmcm (63).